Record 1
8
Lattice="3.603 0.000 0.000 0.000 3.603 0.000 0.000 0.000 9.789" Properties=species:S:1:pos:R:3 comment="Al2PPt, relaxed, DFT PBE" space_group=I-4m2 rho_g_cm3=7.32 total_energy_ev_per_atom=-4.940 n_ef_per_ev_atom=0.39 pbc="T T T"
Al 0.000 0.000 0.000
Al 0.000 1.802 2.447
Al 1.802 0.000 7.342
Al 1.802 1.802 4.895
P 0.000 1.802 7.342
P 1.802 0.000 2.447
Pt 0.000 0.000 4.895
Pt 1.802 1.802 0.000

---

Record 2
5
Lattice="5.570 0.000 0.000 0.000 5.570 0.000 0.000 0.000 5.404" Properties=species:S:1:pos:R:3 comment="ZnSiSbI2, relaxed, DFT PBE" space_group=P4/mmm rho_g_cm3=4.65 polymorph_energy_mev_per_atom=0.0 n_ef_per_ev_atom=0.78 e_form_raw_ev_per_atom=0.47 pbc="T T T"
Zn 0.000 0.000 0.000
Si 2.785 2.785 2.702
Sb 2.785 2.785 0.000
I 0.000 2.785 2.702
I 2.785 0.000 2.702

---

Record 3
12
Lattice="3.514 -6.088 0.000 3.514 6.088 0.000 -2.341 0.000 6.621" Properties=species:S:1:pos:R:3 comment="Tb5BiP6, relaxed, DFT PBE" space_group=C2/m rho_g_cm3=6.97 total_energy_ev_per_atom=-6.235 n_ef_per_ev_atom=0.06 pbc="T T T"
Tb 0.000 0.000 0.000
Tb 2.343 4.049 3.310
Tb 3.514 2.014 0.000
Tb 3.514 -2.014 0.000
Tb 2.343 -4.049 3.310
Bi 2.343 0.000 3.310
P 1.150 2.065 1.637
P -0.043 0.000 4.995
P 1.150 -2.065 1.637
P 3.536 2.065 4.984
P 4.729 0.000 1.626
P 3.536 -2.065 4.984